! LuMgSc4 PBE relaxed; values from VASP
! E_form   0.18 eV/atom
! Total DFT energy (no corrections)   -30.34 eV/cell
! SG   No. 216
&SYSTEM
  ibrav = 0, nat = 6, ntyp = 3
/
ATOMIC_SPECIES
Lu 174.97 Lu.upf
Sc 44.96 Sc.upf
Mg 24.30 Mg.upf
CELL_PARAMETERS angstrom
6.048 0.000 0.000
3.024 5.237 0.000
3.024 1.746 4.938
ATOMIC_POSITIONS crystal
Lu 0.000 0.000 0.000
Sc 0.626 0.626 0.626
Sc 0.626 0.123 0.626
Sc 0.123 0.626 0.626
Mg 0.250 0.250 0.250
Sc 0.626 0.626 0.123